{
  "formula": "PaIrPt",
  "functional": "GGA-PBE",
  "state": "relaxed",
  "cell": [[-1.6502, 1.0632, -3.6855], [3.0511, -2.0677, -1.9626], [-3.7895, -5.6542, 0.0657]],
  "species": ["Ir", "Pt", "Pa", "Pt", "Ir", "Pa"],
  "frac_coords": [[0.0000, 0.0000, 0.5000], [0.0000, 0.5000, 0.7832], [0.5000, 0.0000, 0.8035], [0.5000, 0.0000, 0.2168], [0.5000, 0.5000, 0.5000], [0.0000, 0.5000, 0.1965]],
  "relative_energy_ev_per_fu": 0.000,
  "sg": "P4/nmm (129)",
  "delta_e_f_mev_per_atom": -889
}


{
  "formula": "TeH2I3",
  "functional": "GGA-PBE",
  "state": "relaxed",
  "cell": [[-7.0231, 0.3123, 9.3555], [-0.6377, -10.1078, 5.8619], [0.7909, -1.3915, 5.5957]],
  "species": ["I", "I", "I", "I", "Te", "Te", "H", "H", "I", "H", "I", "H"],
  "frac_coords": [[0.3296, 0.0216, 0.4044], [0.0216, 0.3296, 0.9043], [0.4788, 0.5212, 0.2500], [0.6704, 0.9784, 0.5956], [0.1359, 0.8640, 0.2500], [0.8641, 0.1360, 0.7500], [0.6933, 0.1480, 0.8259], [0.8520, 0.3066, 0.6742], [0.5212, 0.4788, 0.7500], [0.1480, 0.6934, 0.3258], [0.9784, 0.6704, 0.0957], [0.3067, 0.8520, 0.1741]],
  "sg": "C2/c (15)"
}


{
  "formula": "NaCaGe",
  "functional": "GGA-PBE",
  "state": "relaxed",
  "cell": [[4.0353, 0.0000, 0.0000], [0.0000, 4.0353, 0.0000], [-2.0177, -2.0177, 4.7808]],
  "species": ["Ge", "Ca", "Na"],
  "frac_coords": [[0.2845, 0.2845, 0.5691], [0.9382, 0.9382, 0.8764], [0.6273, 0.6273, 0.2546]],
  "sg": "I4mm (107)",
  "delta_e_f_mev_per_atom": -181
}


{
  "formula": "CuPOs2W",
  "functional": "GGA-PBE",
  "state": "relaxed",
  "cell": [[4.3216, 0.0000, 0.0000], [0.0000, 4.2578, 0.0000], [0.0000, 0.0000, 4.3216]],
  "species": ["P", "Os", "Cu", "Os", "W"],
  "frac_coords": [[0.0000, 0.0000, 0.0000], [0.5000, 0.0000, 0.0000], [0.0000, 0.5000, 0.0000], [0.0000, 0.0000, 0.5000], [0.5000, 0.5000, 0.5000]],
  "sg": "P4/mmm (123)",
  "delta_e_f_mev_per_atom": 1112
}


{
  "formula": "Mn2PdCl",
  "functional": "GGA-PBE",
  "state": "relaxed",
  "cell": [[-1.4403, -3.9024, -0.6458], [-1.3427, -2.3128, 3.2509], [-4.1035, -0.8288, 0.4409]],
  "species": ["Pd", "Cl", "Mn", "Mn"],
  "frac_coords": [[0.5000, 0.5000, 0.5000], [0.0000, 0.0000, 0.0000], [0.2500, 0.2500, 0.2500], [0.7500, 0.7500, 0.7500]],
  "relative_energy_ev_per_fu": 2.613,
  "sg": "Fm-3m (225)",
  "raw_formation_energy_ev_per_atom": 0.9024
}


{
  "formula": "Nd4DyPu3S8",
  "functional": "GGA-PBE",
  "state": "relaxed",
  "cell": [[-4.9272, 0.9348, 6.2183], [-2.0804, -7.7444, -0.4842], [7.7029, 2.0093, 0.6700]],
  "species": ["S", "Pu", "S", "Pu", "Nd", "S", "S", "Nd", "Dy", "Nd", "S", "S", "Pu", "Nd", "S", "S"],
  "frac_coords": [[0.2453, 0.7384, 0.9931], [0.0000, 0.5000, 0.5000], [0.2538, 0.2613, 0.5075], [0.5000, 0.5000, 0.5000], [0.5000, 0.0000, 0.5000], [0.2522, 0.2616, 0.0069], [0.7547, 0.2616, 0.5094], [0.5000, 0.0000, 0.0000], [0.0000, 0.5000, 0.0000], [0.0000, 0.0000, 0.5000], [0.7547, 0.2616, 0.0069], [0.7478, 0.7384, 0.9931], [0.5000, 0.5000, 0.0000], [0.0000, 0.0000, 0.0000], [0.2453, 0.7384, 0.4906], [0.7462, 0.7387, 0.4925]],
  "sg": "R-3m (166)",
  "raw_formation_energy_ev_per_atom": -1.9431
}


{
  "formula": "CsV3Cl12",
  "functional": "GGA-PBE",
  "state": "relaxed",
  "cell": [[8.9698, 0.0000, 0.0000], [0.0000, 11.1350, -6.4288], [0.0000, 0.0000, 12.8576]],
  "species": ["V", "Cl", "Cl", "Cl", "Cl", "V", "Cl", "Cl", "V", "Cl", "Cs", "Cl", "Cl", "Cl", "Cl", "Cl", "V", "Cl", "Cl", "Cl", "Cl", "Cl", "V", "V", "Cl", "Cl", "Cl", "Cl", "Cl", "Cl", "Cs", "Cl"],
  "frac_coords": [[0.7500, 0.6200, 0.7205], [0.2500, 0.0133, 0.8123], [0.9477, 0.2219, 0.7859], [0.2500, 0.0074, 0.5323], [0.2500, 0.5248, 0.9926], [0.2500, 0.3800, 0.2795], [0.7500, 0.2010, 0.0133], [0.7500, 0.4752, 0.0074], [0.2500, 0.7205, 0.1005], [0.7500, 0.5323, 0.5248], [0.2500, 0.3333, 0.6667], [0.4477, 0.4360, 0.2219], [0.2500, 0.7990, 0.9867], [0.0523, 0.7781, 0.2141], [0.9477, 0.2141, 0.4360], [0.2500, 0.4677, 0.4752], [0.7500, 0.1005, 0.3800], [0.7500, 0.8123, 0.7990], [0.7500, 0.9926, 0.4677], [0.9477, 0.5640, 0.7781], [0.0523, 0.4360, 0.2219], [0.5523, 0.5640, 0.7781], [0.2500, 0.8995, 0.6200], [0.7500, 0.2795, 0.8995], [0.7500, 0.9867, 0.1877], [0.2500, 0.1877, 0.2010], [0.5523, 0.2141, 0.4360], [0.4477, 0.7859, 0.5640], [0.0523, 0.7859, 0.5640], [0.4477, 0.7781, 0.2141], [0.7500, 0.6667, 0.3333], [0.5523, 0.2219, 0.7859]],
  "sg": "P6_3/m (176)",
  "raw_formation_energy_ev_per_atom": -1.2780
}


{
  "formula": "KAs2WSe",
  "functional": "GGA-PBE",
  "state": "relaxed",
  "cell": [[5.0579, 0.0000, 0.0000], [0.0000, 5.0579, 0.0000], [0.0000, 0.0000, 5.2011]],
  "species": ["As", "W", "As", "Se", "K"],
  "frac_coords": [[0.0000, 0.5000, 0.0000], [0.5000, 0.5000, 0.5000], [0.5000, 0.0000, 0.0000], [0.0000, 0.0000, 0.5000], [0.0000, 0.0000, 0.0000]],
  "relative_energy_ev_per_fu": 12.619,
  "sg": "P4/mmm (123)",
  "raw_formation_energy_ev_per_atom": 2.4982
}


Calculated final energy (Ry/atom), listed in the same order as above: -0.6630 -0.1730 -0.2078 -0.5785 -0.4000 -0.6008 -0.3253 -0.2108
Calculated ρ (g/cm³), listed in the same order as above: 17.302 3.982 2.895 13.758 7.926 7.893 1.839 5.638